Entry 1:
! Hf2GaHg2 | the Alexandria database | GGA-PBE | relaxed; values from VASP
&SYSTEM
  ibrav = 0, nat = 10, ntyp = 3
/
ATOMIC_SPECIES
Hf 178.49 Hf.upf
Ga 69.72 Ga.upf
Hg 200.59 Hg.upf
ATOMIC_POSITIONS crystal
Hf 0.155 0.345 0.000
Hf 0.345 0.845 0.000
Hf 0.655 0.155 0.000
Hf 0.845 0.655 0.000
Ga 0.000 0.000 0.000
Ga 0.500 0.500 0.000
Hg 0.150 0.650 0.500
Hg 0.350 0.150 0.500
Hg 0.650 0.850 0.500
Hg 0.850 0.350 0.500
CELL_PARAMETERS angstrom
7.259 0.000 0.000
0.000 7.259 0.000
0.000 0.000 4.231
! total magnetic moment: 0.00 μB per formula unit
! E_tot: -4.632 eV per atom
! energy relative to the elements: 76 meV/atom

=====

Entry 2:
! KHf2GaHg | the Alexandria database | GGA-PBE | relaxed; values from VASP
&SYSTEM
  ibrav = 0, nat = 5, ntyp = 4
/
ATOMIC_SPECIES
K 39.10 K.upf
Hf 178.49 Hf.upf
Ga 69.72 Ga.upf
Hg 200.59 Hg.upf
ATOMIC_POSITIONS crystal
K 0.000 0.000 0.000
Hf 0.000 0.500 0.500
Hf 0.500 0.000 0.500
Ga 0.500 0.500 0.000
Hg 0.000 0.000 0.500
CELL_PARAMETERS angstrom
5.330 0.000 0.000
0.000 5.330 0.000
0.000 0.000 5.871
! total magnetic moment: 0.00 μB per formula unit
! E_tot: -3.715 eV per atom
! energy relative to the elements: 1151 meV/atom

=====

Entry 3:
! LiHfGaHg | the Alexandria database | GGA-PBE | relaxed; values from VASP
&SYSTEM
  ibrav = 0, nat = 16, ntyp = 4
/
ATOMIC_SPECIES
Li 6.94 Li.upf
Hf 178.49 Hf.upf
Ga 69.72 Ga.upf
Hg 200.59 Hg.upf
ATOMIC_POSITIONS crystal
Li 0.000 0.000 0.000
Li 0.000 0.500 0.500
Li 0.500 0.000 0.500
Li 0.500 0.500 0.000
Hf 0.000 0.000 0.500
Hf 0.000 0.500 0.000
Hf 0.500 0.000 0.000
Hf 0.500 0.500 0.500
Ga 0.250 0.250 0.750
Ga 0.250 0.750 0.250
Ga 0.750 0.250 0.250
Ga 0.750 0.750 0.750
Hg 0.250 0.250 0.250
Hg 0.250 0.750 0.750
Hg 0.750 0.250 0.750
Hg 0.750 0.750 0.250
CELL_PARAMETERS angstrom
6.689 0.000 0.000
0.000 6.689 0.000
0.000 0.000 6.689
! total magnetic moment: 0.00 μB per formula unit
! E_tot: -4.006 eV per atom
! energy relative to the elements: -207 meV/atom

=====

Entry 4:
! LuHfGaHg | the Alexandria database | GGA-PBE | relaxed; values from VASP
&SYSTEM
  ibrav = 0, nat = 16, ntyp = 4
/
ATOMIC_SPECIES
Lu 174.97 Lu.upf
Hf 178.49 Hf.upf
Ga 69.72 Ga.upf
Hg 200.59 Hg.upf
ATOMIC_POSITIONS crystal
Lu 0.000 0.000 0.000
Lu 0.000 0.500 0.500
Lu 0.500 0.000 0.500
Lu 0.500 0.500 0.000
Hf 0.000 0.000 0.500
Hf 0.000 0.500 0.000
Hf 0.500 0.000 0.000
Hf 0.500 0.500 0.500
Ga 0.250 0.250 0.250
Ga 0.250 0.750 0.750
Ga 0.750 0.250 0.750
Ga 0.750 0.750 0.250
Hg 0.250 0.250 0.750
Hg 0.250 0.750 0.250
Hg 0.750 0.250 0.250
Hg 0.750 0.750 0.750
CELL_PARAMETERS angstrom
6.986 0.000 0.000
0.000 6.986 0.000
0.000 0.000 6.986
! total magnetic moment: 0.00 μB per formula unit
! E_tot: -4.712 eV per atom
! energy relative to the elements: -261 meV/atom

=====

Entry 5:
! HfGaHg2N | the Alexandria database | GGA-PBE | relaxed; values from VASP
&SYSTEM
  ibrav = 0, nat = 5, ntyp = 4
/
ATOMIC_SPECIES
Hf 178.49 Hf.upf
Ga 69.72 Ga.upf
Hg 200.59 Hg.upf
N 14.01 N.upf
ATOMIC_POSITIONS crystal
Hf 0.000 0.000 0.000
Ga 0.500 0.500 0.000
Hg 0.000 0.500 0.500
Hg 0.500 0.000 0.500
N 0.000 0.000 0.500
CELL_PARAMETERS angstrom
5.017 0.000 0.000
0.000 5.017 0.000
0.000 0.000 4.116
! total magnetic moment: 0.00 μB per formula unit
! ΔE_f (raw): 102 kJ/mol of formula units
! E_tot: -4.171 eV per atom

=====

Entry 6:
! HfGa2NiHg | the Alexandria database | GGA-PBE | relaxed; values from VASP
&SYSTEM
  ibrav = 0, nat = 5, ntyp = 4
/
ATOMIC_SPECIES
Hf 178.49 Hf.upf
Ga 69.72 Ga.upf
Ni 58.69 Ni.upf
Hg 200.59 Hg.upf
ATOMIC_POSITIONS crystal
Hf 0.000 0.000 0.000
Ga 0.000 0.500 0.500
Ga 0.500 0.000 0.500
Ni 0.000 0.000 0.500
Hg 0.500 0.500 0.000
CELL_PARAMETERS angstrom
4.513 0.000 0.000
0.000 4.513 0.000
0.000 0.000 4.907
! total magnetic moment: 0.00 μB per formula unit
! E_tot: -4.446 eV per atom
! energy relative to the elements: -28 meV/atom

=====

Entry 7:
! HfGaHgO2 | the Alexandria database | GGA-PBE | relaxed; values from VASP
&SYSTEM
  ibrav = 0, nat = 5, ntyp = 4
/
ATOMIC_SPECIES
Hf 178.49 Hf.upf
Ga 69.72 Ga.upf
Hg 200.59 Hg.upf
O 16.00 O.upf
ATOMIC_POSITIONS crystal
Hf 0.000 0.000 0.000
Ga 0.500 0.500 0.500
Hg 0.000 0.000 0.500
O 0.000 0.500 0.000
O 0.500 0.000 0.000
CELL_PARAMETERS angstrom
4.049 0.000 0.000
0.000 4.049 0.000
0.000 0.000 5.996
! total magnetic moment: 0.00 μB per formula unit
! ΔE_f (raw): -697 kJ/mol of formula units
! E_tot: -6.084 eV per atom

=====

Entry 8:
! HfGaHgPt2 | the Alexandria database | GGA-PBE | relaxed; values from VASP
&SYSTEM
  ibrav = 0, nat = 5, ntyp = 4
/
ATOMIC_SPECIES
Hf 178.49 Hf.upf
Ga 69.72 Ga.upf
Hg 200.59 Hg.upf
Pt 195.08 Pt.upf
ATOMIC_POSITIONS crystal
Hf 0.000 0.000 0.000
Ga 0.500 0.500 0.000
Hg 0.000 0.000 0.500
Pt 0.000 0.500 0.500
Pt 0.500 0.000 0.500
CELL_PARAMETERS angstrom
5.051 0.000 0.000
0.000 5.051 0.000
0.000 0.000 5.083
! total magnetic moment: 0.00 μB per formula unit
! E_tot: -3.918 eV per atom
! energy relative to the elements: 1155 meV/atom

=====

Entry 9:
! RbHfGaHg2 | the Alexandria database | GGA-PBE | relaxed; values from VASP
&SYSTEM
  ibrav = 0, nat = 5, ntyp = 4
/
ATOMIC_SPECIES
Rb 85.47 Rb.upf
Hf 178.49 Hf.upf
Ga 69.72 Ga.upf
Hg 200.59 Hg.upf
ATOMIC_POSITIONS crystal
Rb 0.000 0.000 0.000
Hf 0.500 0.500 0.500
Ga 0.500 0.500 0.000
Hg 0.000 0.500 0.500
Hg 0.500 0.000 0.500
CELL_PARAMETERS angstrom
5.705 0.000 0.000
0.000 5.705 0.000
0.000 0.000 5.375
! total magnetic moment: 1.73 μB per formula unit
! E_tot: -2.677 eV per atom
! energy relative to the elements: 234 meV/atom

=====

Entry 10:
! Hf2GaReHg | the Alexandria database | GGA-PBE | relaxed; values from VASP
&SYSTEM
  ibrav = 0, nat = 5, ntyp = 4
/
ATOMIC_SPECIES
Hf 178.49 Hf.upf
Ga 69.72 Ga.upf
Re 186.21 Re.upf
Hg 200.59 Hg.upf
ATOMIC_POSITIONS crystal
Hf 0.000 0.500 0.000
Hf 0.500 0.000 0.000
Ga 0.000 0.000 0.000
Re 0.000 0.000 0.500
Hg 0.500 0.500 0.500
CELL_PARAMETERS angstrom
4.940 0.000 0.000
0.000 4.940 0.000
0.000 0.000 4.537
! total magnetic moment: 0.00 μB per formula unit
! E_tot: -6.316 eV per atom
! energy relative to the elements: 821 meV/atom

=====

Entry 11:
! HfGaHg2Sb | the Alexandria database | GGA-PBE | relaxed; values from VASP
&SYSTEM
  ibrav = 0, nat = 5, ntyp = 4
/
ATOMIC_SPECIES
Hf 178.49 Hf.upf
Ga 69.72 Ga.upf
Hg 200.59 Hg.upf
Sb 121.76 Sb.upf
ATOMIC_POSITIONS crystal
Hf 0.000 0.000 0.000
Ga 0.000 0.000 0.500
Hg 0.000 0.500 0.500
Hg 0.500 0.000 0.500
Sb 0.500 0.500 0.000
CELL_PARAMETERS angstrom
4.950 0.000 0.000
0.000 4.950 0.000
0.000 0.000 5.391
! total magnetic moment: 0.00 μB per formula unit
! ΔE_f (raw): 225 kJ/mol of formula units
! E_tot: -3.075 eV per atom

=====

Entry 12:
! HfScGaHg | the Alexandria database | GGA-PBE | relaxed; values from VASP
&SYSTEM
  ibrav = 0, nat = 16, ntyp = 4
/
ATOMIC_SPECIES
Hf 178.49 Hf.upf
Sc 44.96 Sc.upf
Ga 69.72 Ga.upf
Hg 200.59 Hg.upf
ATOMIC_POSITIONS crystal
Hf 0.000 0.000 0.000
Hf 0.000 0.500 0.500
Hf 0.500 0.000 0.500
Hf 0.500 0.500 0.000
Sc 0.000 0.000 0.500
Sc 0.000 0.500 0.000
Sc 0.500 0.000 0.000
Sc 0.500 0.500 0.500
Ga 0.250 0.250 0.750
Ga 0.250 0.750 0.250
Ga 0.750 0.250 0.250
Ga 0.750 0.750 0.750
Hg 0.250 0.250 0.250
Hg 0.250 0.750 0.750
Hg 0.750 0.250 0.750
Hg 0.750 0.750 0.250
CELL_PARAMETERS angstrom
6.863 0.000 0.000
0.000 6.863 0.000
0.000 0.000 6.863
! total magnetic moment: 0.00 μB per formula unit
! E_tot: -5.194 eV per atom
! energy relative to the elements: -290 meV/atom

=====

Entry 13:
! HoHfGa | the Alexandria database | GGA-PBE | relaxed; values from VASP
&SYSTEM
  ibrav = 0, nat = 6, ntyp = 3
/
ATOMIC_SPECIES
Ho 164.93 Ho.upf
Hf 178.49 Hf.upf
Ga 69.72 Ga.upf
ATOMIC_POSITIONS crystal
Ho 0.000 0.000 0.000
Ho 0.500 0.500 0.500
Hf 0.000 0.000 0.311
Hf 0.500 0.500 0.811
Ga 0.000 0.000 0.666
Ga 0.500 0.500 0.166
CELL_PARAMETERS angstrom
3.312 0.000 0.000
0.000 3.312 0.000
0.000 0.000 12.320
! energy relative to the lowest polymorph listed for this composition: 0.38 eV per formula unit
! total magnetic moment: 0.00 μB per formula unit
! E_tot: -6.123 eV per atom
! energy relative to the elements: -270 meV/atom